This record from Alexandria describes an optimized crystal structure of VNiMoPd. The functional is PBE-GGA.

The structure in POSCAR format:
```
VNiMoPd
1.0
-0.404 -4.258 -0.020
1.654 -2.290 -3.211
3.421 -2.476 0.679
Ni Mo Pd V
1 1 1 1
Cartesian
0.000 0.000 0.000
1.168 -2.256 -0.638
3.504 -6.768 -1.914
2.336 -4.512 -1.276
```

Crystal system = cubic
Space group = F-43m, No. 216
Volume = 13.8 Å³/atom
Energy = -30.8 eV/f.u.